No. 1
A relaxed ReOs4Cl crystal. Source: the Alexandria database, functional PBE-GGA.

Calculated values
Formation energy without anion corrections ... 1.4240 eV/atom

a = 5.1670 Å, b = 5.1670 Å, c = 5.1670 Å
α = 60.00°, β = 60.00°, γ = 60.00°
With the nearest neighbours (Å) after each atom.
Positions (direct):
Re: 0.0000 0.0000 0.0000  12 Os 3.03, 4 Cl 3.16
Os: 0.1243 0.6252 0.6252  6 Os 2.58-2.59
Os: 0.6252 0.1243 0.6252  6 Os 2.58-2.59
Os: 0.6252 0.6252 0.1243  6 Os 2.58-2.59
Os: 0.6252 0.6252 0.6252  6 Os 2.58-2.59
Cl: 0.2500 0.2500 0.2500  12 Os 3.03, 4 Re 3.16


No. 2
A relaxed La12Pr7Y crystal. Source: the Alexandria database, functional PBE-GGA.

Calculated values
ΔH_f (0 K) ... 225 meV/atom

a = 11.1339 Å, b = 11.1339 Å, c = 11.1339 Å
α = 115.43°, β = 115.43°, γ = 115.43°
With the nearest neighbours (Å) after each atom.
Positions (direct):
La: 0.0701 0.5015 0.2897  4 La 3.30-3.57, 3 Pr 3.60-3.68
La: 0.1965 0.2690 0.7456  2 Pr 3.18-3.35, 3 La 3.30-3.55
La: 0.2544 0.8035 0.7310  2 Pr 3.18-3.35, 3 La 3.30-3.55
La: 0.2690 0.7456 0.1965  2 Pr 3.18-3.35, 3 La 3.30-3.55
La: 0.2897 0.0701 0.5015  4 La 3.30-3.57, 3 Pr 3.60-3.68
La: 0.4985 0.7103 0.9299  4 La 3.30-3.57, 3 Pr 3.60-3.68
La: 0.5015 0.2897 0.0701  4 La 3.30-3.57, 3 Pr 3.60-3.68
La: 0.7103 0.9299 0.4985  4 La 3.30-3.57, 3 Pr 3.60-3.68
La: 0.7310 0.2544 0.8035  2 Pr 3.18-3.35, 3 La 3.30-3.55
La: 0.7456 0.1965 0.2690  2 Pr 3.18-3.35, 3 La 3.30-3.55
La: 0.8035 0.7310 0.2544  2 Pr 3.18-3.35, 3 La 3.30-3.55
La: 0.9299 0.4985 0.7103  4 La 3.30-3.57, 3 Pr 3.60-3.68
Pr: 0.0000 0.0000 0.0000  6 Pr 3.35, 2 Y 3.62
Pr: 0.0831 0.2296 0.3897  2 La 3.18-3.35, 1 Pr 3.35, 1 Y 3.47
Pr: 0.2296 0.3897 0.0831  2 La 3.18-3.35, 1 Pr 3.35, 1 Y 3.47
Pr: 0.3897 0.0831 0.2296  2 La 3.18-3.35, 1 Pr 3.35, 1 Y 3.47
Pr: 0.6103 0.9169 0.7704  2 La 3.18-3.35, 1 Pr 3.35, 1 Y 3.47
Pr: 0.7704 0.6103 0.9169  2 La 3.18-3.35, 1 Pr 3.35, 1 Y 3.47
Pr: 0.9169 0.7704 0.6103  2 La 3.18-3.35, 1 Pr 3.35, 1 Y 3.47
Y: 0.5000 0.5000 0.5000  8 Pr 3.47-3.62


No. 3
A relaxed Sn2AsP crystal. Source: the Alexandria database, functional PBE-GGA.

Calculated values
ΔH_f (0 K) ... 14 meV/atom

a = 9.5756 Å, b = 9.5756 Å, c = 9.5756 Å
α = 24.51°, β = 24.51°, γ = 24.51°
With the nearest neighbours (Å) after each atom.
Positions (direct):
Sn: 0.0000 0.0000 0.0000  1 P 2.53, 3 As 2.65
Sn: 0.4700 0.4700 0.4700  3 P 2.67
As: 0.6221 0.6221 0.6221  3 Sn 2.65
P: 0.0910 0.0910 0.0910  4 Sn 2.53-2.67


No. 4
A relaxed ZrU2 crystal. Source: the Alexandria database, functional PBE-GGA.

Calculated values
ΔH_f (0 K) ... 154 meV/atom

a = 3.5120 Å, b = 3.5120 Å, c = 5.9573 Å
α = 108.02°, β = 108.02°, γ = 86.28°
With the nearest neighbours (Å) after each atom.
Positions (direct):
Zr: 0.0000 0.0000 0.0000  10 U 3.19-3.44, 4 Zr 3.51
U: 0.2758 0.2758 0.6099  3 U 2.56-2.69
U: 0.7242 0.7242 0.3901  3 U 2.56-2.69


No. 5
A relaxed Nb4BP crystal. Source: the Alexandria database, functional PBE-GGA.

Calculated values
ΔH_f (0 K) ... -335 meV/atom

a = 5.8093 Å, b = 5.7909 Å, c = 5.7671 Å
α = 90.00°, β = 90.42°, γ = 90.00°
With the nearest neighbours (Å) after each atom.
Positions (direct):
Nb: 0.1257 0.1468 0.1499  2 B 2.31-2.34, 1 P 2.50
Nb: 0.1257 0.3532 0.6499  2 B 2.31-2.34, 1 P 2.50
Nb: 0.3420 0.6328 0.1292  1 B 2.25, 2 P 2.44
Nb: 0.3420 0.8672 0.6292  1 B 2.25, 2 P 2.44
Nb: 0.6580 0.1328 0.3708  1 B 2.25, 2 P 2.44
Nb: 0.6580 0.3672 0.8708  1 B 2.25, 2 P 2.44
Nb: 0.8743 0.6468 0.3501  2 B 2.31-2.34, 1 P 2.50
Nb: 0.8743 0.8532 0.8501  2 B 2.31-2.34, 1 P 2.50
B: 0.0000 0.0000 0.5000  6 Nb 2.25-2.34
B: 0.0000 0.5000 0.0000  6 Nb 2.25-2.34
P: 0.5000 0.0000 0.0000  6 Nb 2.44-2.50
P: 0.5000 0.5000 0.5000  6 Nb 2.44-2.50


No. 6
A relaxed Y2Er6Tm3Sc crystal. Source: the Alexandria database, functional PBE-GGA.

Calculated values
ΔH_f (0 K) ... 33 meV/atom

a = 6.0453 Å, b = 6.0453 Å, c = 11.5834 Å
α = 94.99°, β = 94.99°, γ = 119.94°
With the nearest neighbours (Å) after each atom.
Positions (direct):
Y: 0.1666 0.8334 0.0000  3 Y 3.49, 3 Sc 3.49, 6 Er 3.49-3.50
Y: 0.8334 0.1666 0.0000  3 Y 3.49, 3 Sc 3.49, 6 Er 3.49-3.50
Er: 0.0869 0.4175 0.7503  6 Er 3.46-3.51, 1 Sc 3.48, 3 Tm 3.49-3.51, 2 Y 3.49-3.50
Er: 0.2519 0.2519 0.2498  6 Er 3.46-3.51, 1 Sc 3.48, 3 Tm 3.49-3.50, 2 Y 3.49
Er: 0.4175 0.0869 0.7503  6 Er 3.46-3.51, 1 Sc 3.48, 3 Tm 3.49-3.51, 2 Y 3.49-3.50
Er: 0.5825 0.9131 0.2497  6 Er 3.46-3.51, 1 Sc 3.48, 3 Tm 3.49-3.51, 2 Y 3.49-3.50
Er: 0.7481 0.7481 0.7502  6 Er 3.46-3.51, 1 Sc 3.48, 3 Tm 3.49-3.50, 2 Y 3.49
Er: 0.9131 0.5825 0.2497  6 Er 3.46-3.51, 1 Sc 3.48, 3 Tm 3.49-3.51, 2 Y 3.49-3.50
Tm: 0.0000 0.0000 0.5000  6 Tm 3.49, 6 Er 3.49-3.50
Tm: 0.3335 0.6665 0.5000  6 Tm 3.49, 6 Er 3.49-3.51
Tm: 0.6665 0.3335 0.5000  6 Tm 3.49, 6 Er 3.49-3.51
Sc: 0.5000 0.5000 0.0000  6 Er 3.48, 6 Y 3.49


No. 7
A relaxed SiPt2 crystal. Source: the Alexandria database, functional PBE-GGA.

Calculated values
Formation energy without anion corrections ... -0.7345 eV/atom

a = 4.1334 Å, b = 4.1334 Å, c = 4.1334 Å
α = 122.95°, β = 122.95°, γ = 84.97°
With the nearest neighbours (Å) after each atom.
Positions (direct):
Si: 0.0000 0.0000 0.0000  8 Pt 2.49
Pt: 0.2500 0.7500 0.5000  4 Si 2.49, 4 Pt 2.79
Pt: 0.7500 0.2500 0.5000  4 Si 2.49, 4 Pt 2.79


No. 8
A relaxed Cu4PdPt5 crystal. Source: the Alexandria database, functional PBE-GGA.

Calculated values
ΔH_f (0 K) ... 81 meV/atom

a = 7.9650 Å, b = 8.7994 Å, c = 4.6018 Å
α = 90.00°, β = 90.00°, γ = 90.00°
With the nearest neighbours (Å) after each atom.
Positions (direct):
Cu: 0.0815 0.2500 0.0854  6 Pt 2.63-2.70, 1 Pd 2.64, 3 Cu 2.68-2.74
Cu: 0.2500 0.5070 0.2518  7 Pt 2.63-2.71, 1 Pd 2.71, 2 Cu 2.74
Cu: 0.2500 0.9930 0.2518  7 Pt 2.63-2.71, 1 Pd 2.71, 2 Cu 2.74
Cu: 0.4185 0.2500 0.0854  6 Pt 2.63-2.70, 1 Pd 2.64, 3 Cu 2.68-2.74
Cu: 0.5815 0.7500 0.9146  6 Pt 2.63-2.70, 1 Pd 2.64, 3 Cu 2.68-2.74
Cu: 0.7500 0.0070 0.7482  7 Pt 2.63-2.71, 1 Pd 2.71, 2 Cu 2.74
Cu: 0.7500 0.4930 0.7482  7 Pt 2.63-2.71, 1 Pd 2.71, 2 Cu 2.74
Cu: 0.9185 0.7500 0.9146  6 Pt 2.63-2.70, 1 Pd 2.64, 3 Cu 2.68-2.74
Pd: 0.2500 0.7500 0.8912  4 Cu 2.64-2.71, 4 Pt 2.68
Pd: 0.7500 0.2500 0.1088  4 Cu 2.64-2.71, 4 Pt 2.68
Pt: 0.0806 0.0020 0.7481  4 Pt 2.62-2.70, 5 Cu 2.63-2.68, 1 Pd 2.68
Pt: 0.0806 0.4980 0.7481  4 Pt 2.62-2.70, 5 Cu 2.63-2.68, 1 Pd 2.68
Pt: 0.2500 0.2500 0.5763  6 Cu 2.63-2.71, 4 Pt 2.68
Pt: 0.4194 0.0020 0.7481  4 Pt 2.62-2.70, 5 Cu 2.63-2.68, 1 Pd 2.68
Pt: 0.4194 0.4980 0.7481  4 Pt 2.62-2.70, 5 Cu 2.63-2.68, 1 Pd 2.68
Pt: 0.5806 0.5020 0.2519  4 Pt 2.62-2.70, 5 Cu 2.63-2.68, 1 Pd 2.68
Pt: 0.5806 0.9980 0.2519  4 Pt 2.62-2.70, 5 Cu 2.63-2.68, 1 Pd 2.68
Pt: 0.7500 0.7500 0.4237  6 Cu 2.63-2.71, 4 Pt 2.68
Pt: 0.9194 0.5020 0.2519  4 Pt 2.62-2.70, 5 Cu 2.63-2.68, 1 Pd 2.68
Pt: 0.9194 0.9980 0.2519  4 Pt 2.62-2.70, 5 Cu 2.63-2.68, 1 Pd 2.68


No. 9
A relaxed NiMo2W crystal. Source: the Alexandria database, functional PBE-GGA.

Calculated values
ΔH_f (0 K) ... 758 meV/atom

a = 5.5758 Å, b = 5.5758 Å, c = 5.5758 Å
α = 102.59°, β = 102.59°, γ = 124.33°
With the nearest neighbours (Å) after each atom.
Positions (direct):
Ni: 0.0000 0.0000 0.0000  4 Mo 2.46, 2 W 2.60
Ni: 0.7500 0.2500 0.5000  4 Mo 2.46, 2 W 2.60
Mo: 0.1068 0.1250 0.4818  2 Ni 2.46, 2 Mo 2.62, 2 W 2.64
Mo: 0.3750 0.8932 0.0182  2 Ni 2.46, 2 Mo 2.62, 2 W 2.64
Mo: 0.6432 0.6250 0.5182  2 Ni 2.46, 2 Mo 2.62, 2 W 2.64
Mo: 0.8750 0.3568 0.9818  2 Ni 2.46, 2 Mo 2.62, 2 W 2.64
W: 0.2500 0.7500 0.5000  2 Ni 2.60, 4 Mo 2.64
W: 0.5000 0.5000 0.0000  2 Ni 2.60, 4 Mo 2.64


No. 10
A relaxed Mg2Hg2Se crystal. Source: the Alexandria database, functional PBE-GGA.

Calculated values
Formation energy without anion corrections ... -0.3377 eV/atom

a = 7.1648 Å, b = 7.1648 Å, c = 4.6683 Å
α = 90.00°, β = 90.00°, γ = 90.00°
With the nearest neighbours (Å) after each atom.
Positions (direct):
Mg: 0.1587 0.3413 0.0000  2 Se 2.70, 2 Hg 3.01
Mg: 0.3413 0.8413 0.0000  2 Se 2.70, 2 Hg 3.01
Mg: 0.6587 0.1587 0.0000  2 Se 2.70, 2 Hg 3.01
Mg: 0.8413 0.6587 0.0000  2 Se 2.70, 2 Hg 3.01
Hg: 0.1544 0.6544 0.5000  6 Mg 3.01-3.24, 1 Hg 3.13
Hg: 0.3456 0.1544 0.5000  6 Mg 3.01-3.24, 1 Hg 3.13
Hg: 0.6544 0.8456 0.5000  6 Mg 3.01-3.24, 1 Hg 3.13
Hg: 0.8456 0.3456 0.5000  6 Mg 3.01-3.24, 1 Hg 3.13
Se: 0.0000 0.0000 0.0000  4 Mg 2.70
Se: 0.5000 0.5000 0.0000  4 Mg 2.70


No. 11
A relaxed CsPb2Cl crystal. Source: the Alexandria database, functional PBE-GGA.

Calculated values
Formation energy without anion corrections ... 0.0858 eV/atom

a = 5.8972 Å, b = 5.8972 Å, c = 5.8972 Å
α = 60.00°, β = 60.00°, γ = 60.00°
With the nearest neighbours (Å) after each atom.
Positions (direct):
Cs: 0.0000 0.0000 0.0000  8 Pb 3.61
Pb: 0.2500 0.2500 0.2500  4 Cl 3.61, 4 Cs 3.61
Pb: 0.7500 0.7500 0.7500  4 Cl 3.61, 4 Cs 3.61
Cl: 0.5000 0.5000 0.5000  8 Pb 3.61


No. 12
A relaxed Sc2GaGe3 crystal. Source: the Alexandria database, functional PBE-GGA.

Calculated values
ΔH_f (0 K) ... -281 meV/atom

a = 7.2235 Å, b = 7.2235 Å, c = 5.1218 Å
α = 90.00°, β = 90.00°, γ = 68.26°
With the nearest neighbours (Å) after each atom.
Positions (direct):
Sc: 0.0451 0.6625 0.7500  5 Ge 2.75-2.87
Sc: 0.3375 0.9549 0.7500  5 Ge 2.75-2.87
Sc: 0.6625 0.0451 0.2500  5 Ge 2.75-2.87
Sc: 0.9549 0.3375 0.2500  5 Ge 2.75-2.87
Ga: 0.3743 0.6257 0.2500  5 Ge 2.46-2.73
Ga: 0.6257 0.3743 0.7500  5 Ge 2.46-2.73
Ge: 0.0707 0.9293 0.2500  1 Ga 2.46, 2 Sc 2.75
Ge: 0.3172 0.3172 0.0000  2 Ge 2.56, 2 Ga 2.73, 2 Sc 2.84
Ge: 0.3172 0.3172 0.5000  2 Ge 2.56, 2 Ga 2.73, 2 Sc 2.84
Ge: 0.6828 0.6828 0.0000  2 Ge 2.56, 2 Ga 2.73, 2 Sc 2.84
Ge: 0.6828 0.6828 0.5000  2 Ge 2.56, 2 Ga 2.73, 2 Sc 2.84
Ge: 0.9293 0.0707 0.7500  1 Ga 2.46, 2 Sc 2.75